(1)
Entry from Alexandria: a relaxed structure of Cs4PmPr3Te8 (PBE).

Cell and atoms, written as POSCAR:
```
Cs4PmPr3Te8
1.0
4.694 2.710 8.953
-4.694 2.710 8.953
0.000 -5.420 8.953
Cs Pm Pr Te
4 1 3 8
direct
0.000 0.000 0.000
0.000 0.500 0.500
0.500 0.000 0.500
0.500 0.500 0.000
0.500 0.500 0.500
0.000 0.000 0.500
0.000 0.500 0.000
0.500 0.000 0.000
0.232 0.232 0.232
0.235 0.730 0.730
0.270 0.270 0.765
0.270 0.765 0.270
0.730 0.235 0.730
0.730 0.730 0.235
0.765 0.270 0.270
0.768 0.768 0.768
```

Results
energy relative to the elements, uncorrected: -22.7 eV per formula unit
M_tot: 0.00 μB/f.u.
uncorrected energy: -4.394 eV/atom

***

(2)
Entry from Alexandria: a relaxed structure of EuUIr (PBE).

Cell and atoms, written as POSCAR:
```
EuUIr
1.0
-1.814 1.814 5.774
1.814 -1.814 5.774
1.814 1.814 -5.774
Eu U Ir
1 1 1
direct
0.000 0.000 0.000
0.282 0.282 0.000
0.694 0.694 0.000
```

Results
M_tot: 9.76 μB/f.u.
energy of formation from the pure elements: -0.15 eV/atom
D(E_F): 1.90 states/eV/atom
uncorrected energy: -10.294 eV/atom

***

(3)
Entry from Alexandria: a relaxed structure of PuHgI2 (PBE).

Cell and atoms, written as POSCAR:
```
PuHgI2
1.0
2.142 1.237 10.769
-2.142 1.237 10.769
0.000 -2.474 10.769
Pu Hg I
1 1 2
direct
0.000 0.000 0.000
0.833 0.833 0.833
0.394 0.394 0.394
0.606 0.606 0.606
```

Results
energy relative to the elements, uncorrected: -3.1 eV per formula unit
M_tot: 6.00 μB/f.u.
D(E_F): 2.64 states/eV/atom
uncorrected energy: -5.207 eV/atom

***

(4)
Entry from Alexandria: a relaxed structure of LiHf2Al (PBE).

Cell and atoms, written as POSCAR:
```
LiHf2Al
1.0
1.485 0.857 10.854
-1.485 0.857 10.854
0.000 -1.714 10.854
Li Hf Al
1 2 1
direct
0.000 0.000 0.000
0.091 0.091 0.091
0.909 0.909 0.909
0.500 0.500 0.500
```

Results
M_tot: 0.00 μB/f.u.
energy of formation from the pure elements: 0.16 eV/atom
D(E_F): 0.97 states/eV/atom
uncorrected energy: -6.226 eV/atom

***

(5)
Entry from Alexandria: a relaxed structure of Rb2SrAgCl5 (PBE).

Cell and atoms, written as POSCAR:
```
Rb2SrAgCl5
1.0
2.202 -9.386 0.000
2.202 9.386 0.000
0.000 0.000 13.874
Rb Sr Ag Cl
4 2 2 10
direct
0.108 0.892 0.500
0.128 0.872 0.121
0.872 0.128 0.621
0.892 0.108 0.000
0.206 0.794 0.823
0.794 0.206 0.323
0.485 0.515 0.277
0.515 0.485 0.777
0.052 0.948 0.862
0.287 0.713 0.463
0.303 0.697 0.185
0.360 0.640 0.815
0.499 0.501 0.596
0.501 0.499 0.096
0.640 0.360 0.315
0.697 0.303 0.685
0.713 0.287 0.963
0.948 0.052 0.362
```

Results
energy relative to the elements, uncorrected: -16.2 eV per formula unit
M_tot: 0.00 μB/f.u.
D(E_F): 0.00 states/eV/atom
uncorrected energy: -3.545 eV/atom

***

(6)
Entry from Alexandria: a relaxed structure of SrCaSi2 (PBE).

Cell and atoms, written as POSCAR:
```
SrCaSi2
1.0
2.424 -2.563 0.000
2.424 2.563 0.000
0.000 0.000 8.589
Sr Ca Si
1 1 2
direct
0.000 0.000 0.000
0.500 0.500 0.600
0.000 0.000 0.360
0.500 0.500 0.259
```

Results
energy relative to the elements, uncorrected: -0.4 eV per formula unit
M_tot: 0.00 μB/f.u.
D(E_F): 0.45 states/eV/atom
uncorrected energy: -3.725 eV/atom